(1)
KSrMn2 after structural relaxation, computed with PBE-GGA.

Cell: 5.526 5.526 5.526 Å, 120.55 120.55 89.04°
Each line ends with the local moment (μB).
Fractional coordinates of all 4 atoms:
K: 0.750 0.250 0.500  -0.03
Mn: 0.000 0.000 0.000  4.07
Mn: 0.250 0.750 0.500  3.97
Sr: 0.500 0.500 0.000  -0.08

## Properties
Crystal system: tetragonal
Uncorrected energy: -4.34 eV/atom
Symmetry: I-4m2
Energy above the most stable polymorph in this dataset: 0.250 eV/atom
Formation energy: 3.8 eV/f.u.

(2)
K2SrMn after structural relaxation, computed with PBE-GGA.

Cell: 10.422 10.422 10.422 Å, 157.42 150.97 37.09°
Each line ends with the local moment (μB).
Fractional coordinates of all 4 atoms:
K: 0.914 0.914 0.000  -0.01
K: 0.586 0.586 0.000  -0.01
Mn: 0.750 0.250 0.500  4.04
Sr: 0.250 0.750 0.500  -0.06

## Properties
Crystal system: orthorhombic
Uncorrected energy: -2.72 eV/atom
Symmetry: Immm
Energy above the most stable polymorph in this dataset: 0.063 eV/atom
Formation energy: 2.2 eV/f.u.

(3)
KSrMn2 after structural relaxation, computed with PBE-GGA.

Cell: 6.900 6.900 5.748 Å, 64.73 64.73 31.20°
Each line ends with the local moment (μB).
Fractional coordinates of all 4 atoms:
K: 0.274 0.274 0.228  -0.01
Mn: 0.041 0.041 0.957  3.86
Mn: 0.703 0.703 0.800  3.95
Sr: 0.482 0.482 0.515  -0.05

## Properties
Crystal system: monoclinic
Uncorrected energy: -4.47 eV/atom
Symmetry: Cm
Energy above the most stable polymorph in this dataset: 0.122 eV/atom
Formation energy: 3.3 eV/f.u.

The highest formation energy belongs to which entry?
number 1